Model one:
BiPb2O4: relaxed, PBE-GGA.

Cell lengths 7.2021, 7.1999, 7.1999 Å; angles 60.44, 59.99, 59.99 degrees
Last column: nearest neighbours and their distance in Å.
Atoms (fractional coordinates):
O1 0.7396 0.7331 0.7877  2 Bi 2.42, 2 Pb 2.43-2.44
O2 0.7092 0.2612 0.7612  3 Pb 2.41-2.44, 1 Bi 2.43
O3 0.2604 0.7123 0.7669  2 Bi 2.42, 2 Pb 2.43-2.44
O4 0.2684 0.2612 0.7612  3 Pb 2.41-2.44, 1 Bi 2.43
O5 0.7396 0.2877 0.2331  2 Bi 2.42, 2 Pb 2.43-2.44
O6 0.2604 0.2669 0.2123  2 Bi 2.42, 2 Pb 2.43-2.44
O7 0.2908 0.7388 0.2388  3 Pb 2.41-2.44, 1 Bi 2.43
O8 0.7316 0.7388 0.2388  3 Pb 2.41-2.44, 1 Bi 2.43
Pb1 0.5000 0.0000 0.0000  6 O 2.41-2.44
Pb2 0.5000 0.5000 0.5000  6 O 2.41-2.44
Pb3 0.1253 0.1247 0.6247  4 O 2.43-2.44
Pb4 0.8747 0.8753 0.3753  4 O 2.43-2.44
Bi1 0.0000 0.5000 0.0000  6 O 2.42-2.43
Bi2 0.5000 0.5000 0.0000  6 O 2.42-2.43

***

Model two:
BiPb2O4: relaxed, PBE-GGA.

Cell lengths 3.5582, 5.5374, 7.7818 Å; angles 113.34, 103.22, 90.00 degrees
Last column: nearest neighbours and their distance in Å.
Atoms (fractional coordinates):
Bi1 0.0000 0.0000 0.0000  6 O 2.27-2.30
Pb1 0.6752 0.6861 0.3504  3 O 2.26-2.27
Pb2 0.3248 0.3139 0.6496  3 O 2.26-2.27
O1 0.1214 0.4116 0.2428  2 Pb 2.27, 1 Bi 2.27
O2 0.4289 0.1156 0.8578  1 Pb 2.26, 2 Bi 2.30
O3 0.8786 0.5884 0.7572  2 Pb 2.27, 1 Bi 2.27
O4 0.5711 0.8844 0.1422  1 Pb 2.26, 2 Bi 2.30

***

Most stable: model two (next structure +10 meV per atom)

***

Model one:
Bi2Pb2O7: relaxed, PBE-GGA.

Cell lengths 3.4459, 7.4398, 7.4398 Å; angles 59.16, 76.61, 76.61 degrees
Last column: nearest neighbours and their distance in Å.
Atoms (fractional coordinates):
O1 0.8696 0.4182 0.8427  1 Pb 2.25, 2 Bi 2.39
O2 0.5000 0.0162 0.9838  3 Bi 2.20-2.27
O3 0.1304 0.1573 0.5818  1 Pb 2.25, 2 Bi 2.39
O4 0.8138 0.0870 0.2854  2 Pb 2.24, 1 Bi 2.38
O5 0.3781 0.7346 0.5092  2 Pb 2.27
O6 0.6219 0.4908 0.2654  2 Pb 2.27
O7 0.1862 0.7146 0.9130  2 Pb 2.24, 1 Bi 2.38
Bi1 0.0000 0.8303 0.1697  4 O 2.20-2.38
Bi2 0.5000 0.3255 0.6745  5 O 2.27-2.39
Pb1 0.2327 0.3070 0.2276  5 O 2.24-2.27
Pb2 0.7673 0.7724 0.6930  5 O 2.24-2.27

***

Model two:
Bi2Pb2O7: relaxed, PBE-GGA.

Cell lengths 5.6286, 5.4952, 5.4952 Å; angles 81.49, 87.59, 87.59 degrees
Last column: nearest neighbours and their distance in Å.
Atoms (fractional coordinates):
Bi1 0.0325 0.2637 0.7620  3 O 2.20-2.31
Bi2 0.0325 0.7620 0.2637  3 O 2.20-2.31
Pb1 0.5138 0.7326 0.7326  7 O 2.23-2.48
Pb2 0.4891 0.2456 0.2456  6 O 2.16-2.37
O1 0.2903 0.4837 0.4837  2 Pb 2.22-2.48, 2 Bi 2.31
O2 0.7330 0.4848 0.0198  2 Pb 2.16-2.29
O3 0.8062 0.5340 0.5340  2 Bi 2.20, 1 Pb 2.27
O4 0.3974 0.9931 0.9931  2 Pb 2.19-2.23
O5 0.2361 0.5045 0.9762  2 Bi 2.27-2.49, 2 Pb 2.30-2.37
O6 0.2361 0.9762 0.5045  2 Bi 2.27-2.49, 2 Pb 2.30-2.37
O7 0.7330 0.0198 0.4848  2 Pb 2.16-2.29

***

Most stable: model two (next structure +90 meV per atom)

***

Model one:
BiPb2O: relaxed, PBE-GGA.

Cell lengths 6.1625, 6.1625, 7.9482 Å; angles 67.19, 67.19, 90.00 degrees
Last column: nearest neighbours and their distance in Å.
Atoms (fractional coordinates):
O1 0.5000 0.5000 0.0000  4 Pb 2.44
O2 0.2500 0.7500 0.5000  4 Pb 2.44
Pb1 0.2302 0.6250 0.2500  2 O 2.44
Pb2 0.3750 0.4802 0.7500  2 O 2.44
Pb3 0.5198 0.1250 0.2500  2 O 2.44
Pb4 0.8750 0.7698 0.7500  2 O 2.44
Bi1 0.0000 0.0000 0.0000  4 Pb 3.15
Bi2 0.7500 0.2500 0.5000  4 Pb 3.15

***

Model two:
BiPb2O: relaxed, PBE-GGA.

Cell lengths 3.5340, 3.5340, 9.5176 Å; angles 79.30, 79.30, 60.00 degrees
Last column: nearest neighbours and their distance in Å.
Atoms (fractional coordinates):
Pb1 0.7247 0.7247 0.8259  3 O 2.60
Pb2 0.2753 0.2753 0.1741  3 O 2.60
Bi1 0.5000 0.5000 0.5000  6 Bi 3.53, 6 Pb 3.65
O1 0.0000 0.0000 0.0000  6 Pb 2.60

***

Model three:
BiPb2O: relaxed, PBE-GGA.

Cell lengths 3.3872, 3.3872, 8.4718 Å; angles 90.00, 90.00, 90.00 degrees
Last column: nearest neighbours and their distance in Å.
Atoms (fractional coordinates):
Pb1 0.0000 0.0000 0.8164  4 O 2.86, 1 Pb 3.11
Pb2 0.0000 0.0000 0.1836  4 O 2.86, 1 Pb 3.11
O1 0.5000 0.5000 0.0000  8 Pb 2.86
Bi1 0.5000 0.5000 0.5000  4 Bi 3.39, 8 Pb 3.59

***

Model four:
BiPb2O: relaxed, PBE-GGA.

Cell lengths 5.2271, 5.2271, 5.2271 Å; angles 60.00, 60.00, 60.00 degrees
Last column: nearest neighbours and their distance in Å.
Atoms (fractional coordinates):
Pb1 0.7500 0.7500 0.7500  4 O 3.20, 4 Bi 3.20
Pb2 0.2500 0.2500 0.2500  4 O 3.20, 4 Bi 3.20
O1 0.0000 0.0000 0.0000  8 Pb 3.20
Bi1 0.5000 0.5000 0.5000  8 Pb 3.20

***

Most stable: model two (next structure +150 meV per atom)

***

Model one:
Bi3PbO6: relaxed, PBE-GGA.

Cell lengths 5.9372, 7.7018, 7.7018 Å; angles 102.27, 90.00, 90.00 degrees
Last column: nearest neighbours and their distance in Å.
Atoms (fractional coordinates):
O1 0.1995 0.0637 0.5894  2 Bi 2.25-2.36, 1 Pb 2.26
O2 0.2713 0.3726 0.3272  3 Bi 2.23-2.49
O3 0.1995 0.4106 0.9363  2 Bi 2.25-2.36, 1 Pb 2.26
O4 0.7713 0.6274 0.6728  3 Bi 2.23-2.49
O5 0.2713 0.6728 0.6274  3 Bi 2.23-2.49
O6 0.7713 0.3272 0.3726  3 Bi 2.23-2.49
O7 0.8336 0.9710 0.0290  2 Pb 2.35-2.39, 2 Bi 2.48
O8 0.6995 0.9363 0.4106  2 Bi 2.25-2.36, 1 Pb 2.26
O9 0.6699 0.2254 0.7746  1 Pb 2.27, 3 Bi 2.37-2.51
O10 0.3336 0.0290 0.9710  2 Pb 2.35-2.39, 2 Bi 2.48
O11 0.1699 0.7746 0.2254  1 Pb 2.27, 3 Bi 2.37-2.51
O12 0.6995 0.5894 0.0637  2 Bi 2.25-2.36, 1 Pb 2.26
Bi1 0.4996 0.9227 0.6717  5 O 2.25-2.51
Bi2 0.9996 0.6717 0.9227  5 O 2.25-2.51
Bi3 0.4996 0.3283 0.0773  5 O 2.25-2.51
Bi4 0.0228 0.5912 0.4088  5 O 2.23-2.49
Bi5 0.5228 0.4088 0.5912  5 O 2.23-2.49
Bi6 0.9996 0.0773 0.3283  5 O 2.25-2.51
Pb1 0.5183 0.8520 0.1480  5 O 2.26-2.39
Pb2 0.0183 0.1480 0.8520  5 O 2.26-2.39

***

Model two:
Bi3PbO6: relaxed, PBE-GGA.

Cell lengths 5.9257, 6.4676, 8.6814 Å; angles 90.00, 90.36, 90.00 degrees
Last column: nearest neighbours and their distance in Å.
Atoms (fractional coordinates):
Pb1 0.5000 0.5000 0.5000  6 O 2.41-2.48
Pb2 0.0000 0.0000 0.0000  6 O 2.41-2.48
O1 0.6626 0.4235 0.2443  2 Bi 2.18-2.38
O2 0.8367 0.6715 0.9298  2 Bi 2.23-2.37, 1 Pb 2.41
O3 0.8374 0.9235 0.2557  2 Bi 2.18-2.38
O4 0.8484 0.6809 0.5719  2 Bi 2.22-2.34, 1 Pb 2.45
O5 0.1626 0.0765 0.7443  2 Bi 2.18-2.38
O6 0.1516 0.3191 0.4281  2 Bi 2.22-2.34, 1 Pb 2.45
O7 0.1633 0.3285 0.0702  2 Bi 2.23-2.37, 1 Pb 2.41
O8 0.3367 0.8285 0.4298  2 Bi 2.23-2.37, 1 Pb 2.41
O9 0.6633 0.1715 0.5702  2 Bi 2.23-2.37, 1 Pb 2.41
O10 0.6516 0.1809 0.9281  2 Bi 2.22-2.34, 1 Pb 2.45
O11 0.3484 0.8191 0.0719  2 Bi 2.22-2.34, 1 Pb 2.45
O12 0.3374 0.5765 0.7557  2 Bi 2.18-2.38
Bi1 0.4888 0.0308 0.2501  3 O 2.18-2.23
Bi2 0.5000 0.5000 0.0000  6 O 2.34-2.38
Bi3 0.0112 0.5308 0.2499  3 O 2.18-2.23
Bi4 0.9888 0.4692 0.7501  3 O 2.18-2.23
Bi5 0.0000 0.0000 0.5000  6 O 2.34-2.38
Bi6 0.5112 0.9692 0.7499  3 O 2.18-2.23

***

Most stable: model two (next structure +9 meV per atom)

***

Model one:
PmBiO4: relaxed, PBE-GGA.

Cell lengths 5.6271, 7.9322, 7.9577 Å; angles 97.22, 90.00, 90.00 degrees
Last column: nearest neighbours and their distance in Å.
Atoms (fractional coordinates):
Pm1 0.2690 0.6359 0.3896  7 O 2.33-2.60
Pm2 0.7690 0.3641 0.1104  7 O 2.33-2.60
Pm3 0.7310 0.3641 0.6104  7 O 2.33-2.60
Pm4 0.2310 0.6359 0.8896  7 O 2.33-2.60
O1 0.6034 0.8272 0.4276  2 Bi 2.14-2.18
O2 0.1034 0.1728 0.0724  2 Bi 2.14-2.18
O3 0.9989 0.6596 0.6172  1 Bi 2.11, 1 Pm 2.35
O4 0.9926 0.6119 0.1661  1 Bi 2.18, 2 Pm 2.33-2.35
O5 0.5011 0.6596 0.1172  1 Bi 2.11, 1 Pm 2.35
O6 0.1007 0.9207 0.3165  2 Bi 2.14-2.19
O7 0.6007 0.0793 0.1835  2 Bi 2.14-2.19
O8 0.3993 0.9207 0.8165  2 Bi 2.14-2.19
O9 0.4989 0.3404 0.8828  1 Bi 2.11, 1 Pm 2.35
O10 0.3966 0.1728 0.5724  2 Bi 2.14-2.18
O11 0.0011 0.3404 0.3828  1 Bi 2.11, 1 Pm 2.35
O12 0.0074 0.3881 0.8339  1 Bi 2.18, 2 Pm 2.33-2.35
O13 0.8966 0.8272 0.9276  2 Bi 2.14-2.18
O14 0.4926 0.3881 0.3339  1 Bi 2.18, 2 Pm 2.33-2.35
O15 0.8993 0.0793 0.6835  2 Bi 2.14-2.19
O16 0.5074 0.6119 0.6661  1 Bi 2.18, 2 Pm 2.33-2.35
Bi1 0.7722 0.8388 0.1831  6 O 2.11-2.19
Bi2 0.7278 0.8388 0.6831  6 O 2.11-2.19
Bi3 0.2722 0.1611 0.3169  6 O 2.11-2.19
Bi4 0.2278 0.1611 0.8169  6 O 2.11-2.19

***

Model two:
PmBiO4: relaxed, PBE-GGA.

Cell lengths 5.6935, 5.3597, 6.8093 Å; angles 110.34, 112.01, 96.31 degrees
Last column: nearest neighbours and their distance in Å.
Atoms (fractional coordinates):
O1 0.7320 0.4658 0.4456  2 Bi 2.15-2.33
O2 0.2136 0.9797 0.4456  2 Bi 2.15-2.33
O3 0.6147 0.7806 0.0659  1 Bi 2.07
O4 0.7864 0.0203 0.5544  2 Bi 2.15-2.33
O5 0.0489 0.7148 0.9341  1 Bi 2.07
O6 0.3853 0.2194 0.9341  1 Bi 2.07
O7 0.2680 0.5342 0.5544  2 Bi 2.15-2.33
O8 0.9511 0.2852 0.0659  1 Bi 2.07
Pm1 0.6369 0.3869 0.7739  8 O 2.37-2.64
Pm2 0.3631 0.6131 0.2261  8 O 2.37-2.64
Bi1 0.0987 0.8487 0.6974  4 O 2.07-2.15
Bi2 0.9013 0.1513 0.3026  4 O 2.07-2.15

***

Most stable: model one (next structure +9 meV per atom)

***

Model one:
Pm3Bi3O: relaxed, PBE-GGA.

Cell lengths 4.3250, 13.1020, 14.8606 Å; angles 90.00, 90.00, 90.00 degrees
Last column: nearest neighbours and their distance in Å.
Atoms (fractional coordinates):
Pm1 0.2500 0.5465 0.3091  2 O 2.38
Pm2 0.2500 0.0465 0.1909  2 O 2.38
Pm3 0.7500 0.4611 0.1196  1 O 2.35
Pm4 0.2500 0.5389 0.8804  1 O 2.35
Pm5 0.7500 0.9535 0.8091  2 O 2.38
Pm6 0.7500 0.9611 0.3804  1 O 2.35
Pm7 0.2500 0.1864 0.8374  1 O 2.37
Pm8 0.7500 0.4535 0.6909  2 O 2.38
Pm9 0.2500 0.0389 0.6196  1 O 2.35
Pm10 0.7500 0.3136 0.3374  1 O 2.37
Pm11 0.2500 0.6864 0.6626  1 O 2.37
Pm12 0.7500 0.8136 0.1626  1 O 2.37
Bi1 0.7500 0.0939 0.0032  2 Bi 3.28, 5 Pm 3.42-3.58, 1 O 3.59
Bi2 0.2500 0.6366 0.0927  6 Pm 3.18-3.43
Bi3 0.2500 0.4061 0.5032  2 Bi 3.28, 5 Pm 3.42-3.58, 1 O 3.59
Bi4 0.7500 0.8634 0.5927  6 Pm 3.18-3.43
Bi5 0.2500 0.7885 0.3297  5 Pm 3.19-3.31
Bi6 0.7500 0.2115 0.6703  5 Pm 3.19-3.31
Bi7 0.2500 0.2885 0.1703  5 Pm 3.19-3.31
Bi8 0.2500 0.9061 0.9968  2 Bi 3.28, 5 Pm 3.42-3.58, 1 O 3.59
Bi9 0.7500 0.7115 0.8297  5 Pm 3.19-3.31
Bi10 0.2500 0.1366 0.4073  6 Pm 3.18-3.43
Bi11 0.7500 0.3634 0.9073  6 Pm 3.18-3.43
Bi12 0.7500 0.5939 0.4968  2 Bi 3.28, 5 Pm 3.42-3.58, 1 O 3.59
O1 0.7500 0.4807 0.2770  4 Pm 2.35-2.38
O2 0.2500 0.0193 0.7770  4 Pm 2.35-2.38
O3 0.7500 0.9807 0.2230  4 Pm 2.35-2.38
O4 0.2500 0.5193 0.7230  4 Pm 2.35-2.38

***

Model two:
Pm3Bi3O: relaxed, PBE-GGA.

Cell lengths 7.0552, 7.0552, 8.6485 Å; angles 98.27, 98.27, 106.54 degrees
Last column: nearest neighbours and their distance in Å.
Atoms (fractional coordinates):
O1 0.1416 0.1416 0.1437  4 Pm 2.32
O2 0.8584 0.8584 0.8563  4 Pm 2.32
Bi1 0.8581 0.1419 0.5000  3 Bi 3.21-3.48, 6 Pm 3.24-3.55
Bi2 0.6228 0.6228 0.3966  1 Bi 3.05, 2 Pm 3.38
Bi3 0.3129 0.6871 0.0000  6 Pm 3.29-3.66
Bi4 0.6871 0.3129 0.0000  6 Pm 3.29-3.66
Bi5 0.1419 0.8581 0.5000  3 Bi 3.21-3.48, 6 Pm 3.24-3.55
Bi6 0.3772 0.3772 0.6034  1 Bi 3.05, 2 Pm 3.38
Pm1 0.5609 0.8951 0.7303  1 O 2.32
Pm2 0.1049 0.4391 0.2697  1 O 2.32
Pm3 0.8951 0.5609 0.7303  1 O 2.32
Pm4 0.1376 0.1376 0.8745  2 O 2.32
Pm5 0.8624 0.8624 0.1255  2 O 2.32
Pm6 0.4391 0.1049 0.2697  1 O 2.32

***

Most stable: model two (next structure +10 meV per atom)

***

Model one:
PmBi3O6: relaxed, PBE-GGA.

Cell lengths 6.2305, 6.2305, 6.1829 Å; angles 59.74, 59.74, 60.00 degrees
Last column: nearest neighbours and their distance in Å.
Atoms (fractional coordinates):
O1 0.9971 0.5322 0.2486  1 Pm 2.33, 3 Bi 2.34-2.60
O2 0.4756 0.7514 0.7610  3 Bi 2.26-2.47, 1 Pm 2.44
O3 0.2222 0.9971 0.2486  1 Pm 2.33, 3 Bi 2.34-2.60
O4 0.5322 0.2222 0.2486  1 Pm 2.33, 3 Bi 2.34-2.60
O5 0.0120 0.4756 0.7610  3 Bi 2.26-2.47, 1 Pm 2.44
O6 0.7514 0.0120 0.7610  3 Bi 2.26-2.47, 1 Pm 2.44
Bi1 0.6455 0.6455 0.0634  3 O 2.26
Bi2 0.1412 0.1412 0.5764  6 O 2.35-2.47
Bi3 0.3587 0.3587 0.9240  6 O 2.34-2.47
Pm1 0.8642 0.8642 0.4073  6 O 2.33-2.44

***

Model two:
PmBi3O6: relaxed, PBE-GGA.

Cell lengths 5.9375, 6.4473, 8.6800 Å; angles 90.00, 89.81, 90.00 degrees
Last column: nearest neighbours and their distance in Å.
Atoms (fractional coordinates):
O1 0.1597 0.0667 0.7517  2 Bi 2.18-2.42, 1 Pm 2.39
O2 0.6575 0.1796 0.5749  2 Bi 2.21-2.43, 1 Pm 2.36
O3 0.8403 0.9333 0.2483  2 Bi 2.18-2.42, 1 Pm 2.39
O4 0.6597 0.4333 0.2517  2 Bi 2.18-2.42, 1 Pm 2.39
O5 0.3403 0.5667 0.7483  2 Bi 2.18-2.42, 1 Pm 2.39
O6 0.3402 0.8271 0.0695  2 Bi 2.21-2.39, 1 Pm 2.39
O7 0.8425 0.6796 0.9251  2 Bi 2.21-2.43, 1 Pm 2.36
O8 0.1598 0.3271 0.4305  2 Bi 2.21-2.39, 1 Pm 2.39
O9 0.1575 0.3204 0.0749  2 Bi 2.21-2.43, 1 Pm 2.36
O10 0.3425 0.8204 0.4251  2 Bi 2.21-2.43, 1 Pm 2.36
O11 0.8402 0.6729 0.5695  2 Bi 2.21-2.39, 1 Pm 2.39
O12 0.6598 0.1729 0.9305  2 Bi 2.21-2.39, 1 Pm 2.39
Pm1 0.5000 0.5000 0.5000  6 O 2.36-2.39
Pm2 0.0000 0.0000 0.0000  6 O 2.36-2.39
Bi1 0.4882 0.0290 0.2486  3 O 2.18-2.21
Bi2 0.9882 0.4710 0.7486  3 O 2.18-2.21
Bi3 0.0118 0.5290 0.2514  3 O 2.18-2.21
Bi4 0.5118 0.9710 0.7514  3 O 2.18-2.21
Bi5 0.5000 0.5000 0.0000  6 O 2.39-2.43
Bi6 0.0000 0.0000 0.5000  6 O 2.39-2.43

***

Most stable: model one (next structure +8 meV per atom)

***

Model one:
Pm4Bi3O2: relaxed, PBE-GGA.

Cell lengths 4.1845, 7.4953, 8.5768 Å; angles 72.64, 75.88, 73.79 degrees
Last column: nearest neighbours and their distance in Å.
Atoms (fractional coordinates):
Pm1 0.3101 0.2491 0.1307  1 O 2.30
Pm2 0.8760 0.8384 0.4095  3 O 2.32-2.42
Pm3 0.6899 0.7509 0.8693  1 O 2.30
Pm4 0.1240 0.1616 0.5905  3 O 2.32-2.42
Bi1 0.0000 0.0000 0.0000  6 Pm 3.12-3.32
Bi2 0.3947 0.5076 0.7029  7 Pm 3.25-3.62, 1 Bi 3.40
Bi3 0.6053 0.4924 0.2971  7 Pm 3.25-3.62, 1 Bi 3.40
O1 0.3075 0.0116 0.3733  4 Pm 2.30-2.42
O2 0.6925 0.9884 0.6267  4 Pm 2.30-2.42

***

Model two:
Pm4Bi3O2: relaxed, PBE-GGA.

Cell lengths 6.6697, 8.8141, 8.8141 Å; angles 71.01, 85.29, 85.29 degrees
Last column: nearest neighbours and their distance in Å.
Atoms (fractional coordinates):
O1 0.5772 0.8469 0.5980  4 Pm 2.30-2.37
O2 0.9228 0.4020 0.1531  4 Pm 2.30-2.37
O3 0.4228 0.1531 0.4020  4 Pm 2.30-2.37
O4 0.0772 0.5980 0.8469  4 Pm 2.30-2.37
Pm1 0.9144 0.7690 0.6189  2 O 2.30-2.37
Pm2 0.5116 0.0832 0.6682  2 O 2.34-2.36
Pm3 0.4144 0.6189 0.7690  2 O 2.30-2.37
Pm4 0.4884 0.9168 0.3318  2 O 2.34-2.36
Pm5 0.0856 0.2310 0.3811  2 O 2.30-2.37
Pm6 0.0116 0.6682 0.0832  2 O 2.34-2.36
Pm7 0.5856 0.3811 0.2310  2 O 2.30-2.37
Pm8 0.9884 0.3318 0.9168  2 O 2.34-2.36
Bi1 0.2500 0.5211 0.4789  4 Pm 3.24-3.44, 2 Bi 3.36, 2 O 3.61
Bi2 0.5161 0.7663 0.0314  6 Pm 3.14-3.50
Bi3 0.7500 0.4789 0.5211  4 Pm 3.24-3.44, 2 Bi 3.36, 2 O 3.61
Bi4 0.9839 0.9686 0.2337  6 Pm 3.14-3.50
Bi5 0.0161 0.0314 0.7663  6 Pm 3.14-3.50
Bi6 0.4839 0.2337 0.9686  6 Pm 3.14-3.50

***

Most stable: model one (next structure +12 meV per atom)